! Mg2SiSe | Alexandria via LeMat-Bulk | PBE-GGA | relaxed; values from VASP
! Excess energy over the best structure of this formula in the dataset: 360 meV/atom
! Spin magnetization: 0.0 Bohr magnetons per cell
! Fermi-level density of states: 3.2 states/eV/cell
&SYSTEM
  ibrav = 0, nat = 4, ntyp = 3
/
ATOMIC_SPECIES
Si 28.09 Si.upf
Mg 24.30 Mg.upf
Se 78.96 Se.upf
CELL_PARAMETERS angstrom
0.0000 3.3951 3.3951
3.3951 0.0000 3.3951
3.3951 3.3951 0.0000
ATOMIC_POSITIONS angstrom
Si 0.0000 0.0000 0.0000
Mg 1.6976 1.6976 1.6976
Mg 5.0927 5.0927 5.0927
Se 3.3951 3.3951 3.3951